1.
Material: PrNd5Er5
Method: DFT, GGA-PBE
State: relaxed

Summary:
**DFT formation energy**: 0.256 eV per atom
**SG**: C2/m, No. 12

Unit cell a=6.008 b=9.960 c=7.046 alpha=110.41 beta=90.00 gamma=107.56
Sites, in units of the cell vectors:
Pr  0.000  0.000  0.000
Nd  0.823  0.646  0.067
Nd  0.823  0.646  0.578
Nd  0.500  0.000  0.000
Nd  0.177  0.354  0.422
Nd  0.177  0.354  0.933
Er  0.670  0.339  0.171
Er  0.623  0.246  0.625
Er  0.000  0.000  0.500
Er  0.377  0.754  0.375
Er  0.330  0.661  0.829


2.
Material: Ca8ZnNi2
Method: DFT, GGA-PBE
State: relaxed

Summary:
**DFT formation energy**: -0.044 eV per atom
**SG**: Cm, No. 8

Unit cell a=5.929 b=7.975 c=7.975 alpha=111.78 beta=98.19 gamma=98.19
Sites, in units of the cell vectors:
Ca  0.576  0.336  0.070
Ca  0.576  0.070  0.336
Ca  0.192  0.380  0.380
Ca  0.989  0.238  0.766
Ca  0.989  0.766  0.238
Ca  0.793  0.629  0.629
Ca  0.398  0.936  0.668
Ca  0.398  0.668  0.936
Zn  0.102  0.004  0.004
Ni  0.493  0.690  0.317
Ni  0.493  0.317  0.690


3.
Material: Na4Pr3ScTe8
Method: DFT, GGA-PBE
State: relaxed

Summary:
**SG**: R-3m, No. 166
**Uncorrected formation energy**: -20.5 eV per formula unit

Unit cell a=9.002 b=9.185 c=9.002 alpha=119.36 beta=120.00 gamma=90.00
Sites, in units of the cell vectors:
Na  0.500  0.000  0.000
Na  0.500  0.000  0.500
Na  0.000  0.000  0.000
Na  0.000  0.000  0.500
Pr  0.500  0.500  0.000
Pr  0.500  0.500  0.500
Pr  0.000  0.500  0.500
Sc  0.000  0.500  0.000
Te  0.235  0.732  0.997
Te  0.235  0.732  0.470
Te  0.252  0.256  0.504
Te  0.762  0.732  0.997
Te  0.238  0.268  0.003
Te  0.748  0.744  0.496
Te  0.765  0.268  0.530
Te  0.765  0.268  0.003


4.
Material: Na2CrSnRu
Method: DFT, GGA-PBE
State: relaxed

Summary:
**DFT formation energy**: 0.941 eV per atom
**SG**: P4/mmm, No. 123

Unit cell a=5.383 b=4.457 c=5.383 alpha=90.00 beta=90.00 gamma=90.00
Sites, in units of the cell vectors:
Ru  0.000  0.000  0.000
Na  0.000  0.000  0.500
Na  0.500  0.000  0.000
Sn  0.500  0.500  0.500
Cr  0.000  0.500  0.000